CsMnMoO3F3 after structural relaxation. Source: Alexandria via LeMat-Bulk, functional GGA+U.

a b c (Å): 11.1931 9.8455 7.6237
angles (deg): 90.00 125.85 90.00
Space group Cc (No. 9)
One atom of each set of equivalent atoms:
Cs (0.0000, 0.1400, 0.0000) [4 per cell]
Mn (0.1279, 0.4950, 0.4012) [4 per cell]
Mo (0.3342, 0.2196, 0.8754) [4 per cell]
O (0.1766, 0.1180, 0.7411) [4 per cell]
O (0.3140, 0.3747, 0.9854) [4 per cell]
O (0.4825, 0.1562, 0.8710) [4 per cell]
F (0.1378, 0.4120, 0.1570) [4 per cell]
F (0.2849, 0.3341, 0.6187) [4 per cell]
F (0.4304, 0.1300, 0.1694) [4 per cell]

Results
calculated density	3.8	Mg/m³
total energy	-0.45492	Ry per atom
energy relative to the lowest polymorph listed for this composition	0.00	kcal/mol of atoms